[1]
VASP calculation (GGA-PBE) on a relaxed MgScCoPb crystal.

Values from the calculation:
symmetry = F-43m
total magnetization = 0.00 μB per formula unit
E = -18.73 eV for the cell shown

Lattice parameters (Å, degrees): 4.667 4.667 4.667 60.00 60.00 60.00
Atoms (fractional coordinates):
Mg (0.000, 0.000, 0.000)
Sc (0.750, 0.750, 0.750)
Co (0.500, 0.500, 0.500)
Pb (0.250, 0.250, 0.250)

=====

[2]
VASP calculation (GGA-PBE) on a relaxed MgCoTcPb crystal.

Values from the calculation:
symmetry = F-43m
total magnetization = 0.72 μB per formula unit
E = -20.91 eV for the cell shown

Lattice parameters (Å, degrees): 4.515 4.515 4.515 60.00 60.00 60.00
Atoms (fractional coordinates):
Mg (0.000, 0.000, 0.000)
Co (0.750, 0.750, 0.750)
Tc (0.250, 0.250, 0.250)
Pb (0.500, 0.500, 0.500)

=====

[3]
VASP calculation (GGA-PBE) on a relaxed MgZrCoPb crystal.

Values from the calculation:
symmetry = F-43m
total magnetization = 0.03 μB per formula unit
E = -20.39 eV for the cell shown

Lattice parameters (Å, degrees): 4.700 4.700 4.700 60.00 60.00 60.00
Atoms (fractional coordinates):
Mg (0.000, 0.000, 0.000)
Zr (0.750, 0.750, 0.750)
Co (0.500, 0.500, 0.500)
Pb (0.250, 0.250, 0.250)

=====

[4]
VASP calculation (GGA-PBE) on a relaxed MgZrCoPb crystal.

Values from the calculation:
symmetry = F-43m
total magnetization = 1.11 μB per formula unit
E = -19.77 eV for the cell shown

Lattice parameters (Å, degrees): 4.732 4.732 4.732 60.00 60.00 60.00
Atoms (fractional coordinates):
Mg (0.000, 0.000, 0.000)
Zr (0.250, 0.250, 0.250)
Co (0.750, 0.750, 0.750)
Pb (0.500, 0.500, 0.500)

=====

[5]
VASP calculation (GGA-PBE) on a relaxed Mg2CoPd crystal.

Values from the calculation:
symmetry = F-43m
total magnetization = 1.26 μB per formula unit
E = -15.71 eV for the cell shown

Lattice parameters (Å, degrees): 4.431 4.431 4.431 60.00 60.00 60.00
Atoms (fractional coordinates):
Mg (0.000, 0.000, 0.000)
Mg (0.250, 0.250, 0.250)
Co (0.750, 0.750, 0.750)
Pd (0.500, 0.500, 0.500)

=====

[6]
VASP calculation (GGA-PBE) on a relaxed MgCoSiPd crystal.

Values from the calculation:
symmetry = F-43m
total magnetization = 0.92 μB per formula unit
E = -20.83 eV for the cell shown

Lattice parameters (Å, degrees): 4.218 4.218 4.218 60.00 60.00 60.00
Atoms (fractional coordinates):
Mg (0.000, 0.000, 0.000)
Co (0.750, 0.750, 0.750)
Si (0.500, 0.500, 0.500)
Pd (0.250, 0.250, 0.250)

=====

[7]
VASP calculation (GGA-PBE) on a relaxed MgTlCoPd crystal.

Values from the calculation:
symmetry = F-43m
total magnetization = 0.82 μB per formula unit
E = -16.34 eV for the cell shown

Lattice parameters (Å, degrees): 4.534 4.534 4.534 60.00 60.00 60.00
Atoms (fractional coordinates):
Mg (0.000, 0.000, 0.000)
Tl (0.500, 0.500, 0.500)
Co (0.750, 0.750, 0.750)
Pd (0.250, 0.250, 0.250)

=====

[8]
VASP calculation (GGA-PBE) on a relaxed PmMgCo crystal.

Values from the calculation:
symmetry = F-43m
total magnetization = 0.00 μB per formula unit
E = -10.94 eV for the cell shown

Lattice parameters (Å, degrees): 4.730 4.730 4.730 60.00 60.00 60.00
Atoms (fractional coordinates):
Pm (0.000, 0.000, 0.000)
Mg (0.250, 0.250, 0.250)
Co (0.750, 0.750, 0.750)

=====

[9]
VASP calculation (GGA-PBE) on a relaxed PmMgCo crystal.

Values from the calculation:
symmetry = Cmcm
total magnetization = 0.17 μB per formula unit
E = -27.44 eV for the cell shown

Lattice parameters (Å, degrees): 8.838 8.838 3.869 90.00 90.00 153.87
Atoms (fractional coordinates):
Pm (0.090, 0.910, 0.750)
Pm (0.910, 0.090, 0.250)
Mg (0.297, 0.703, 0.750)
Mg (0.703, 0.297, 0.250)
Co (0.465, 0.535, 0.750)
Co (0.535, 0.465, 0.250)

=====

[10]
VASP calculation (GGA-PBE) on a relaxed PrMgCo crystal.

Values from the calculation:
symmetry = F-43m
total magnetization = 0.00 μB per formula unit
E = -10.89 eV for the cell shown

Lattice parameters (Å, degrees): 4.836 4.836 4.836 60.00 60.00 60.00
Atoms (fractional coordinates):
Pr (0.000, 0.000, 0.000)
Mg (0.750, 0.750, 0.750)
Co (0.250, 0.250, 0.250)

=====

[11]
VASP calculation (GGA-PBE) on a relaxed Pr2MgCo2 crystal.

Values from the calculation:
symmetry = Cmmm
total magnetization = 0.00 μB per formula unit
E = -25.63 eV for the cell shown

Lattice parameters (Å, degrees): 7.400 7.400 4.127 90.00 90.00 148.99
Atoms (fractional coordinates):
Pr (0.138, 0.862, 0.000)
Pr (0.862, 0.138, 0.000)
Mg (0.500, 0.500, 0.500)
Co (0.288, 0.712, 0.500)
Co (0.712, 0.288, 0.500)

=====

[12]
VASP calculation (GGA-PBE) on a relaxed PuMgCo crystal.

Values from the calculation:
symmetry = F-43m
total magnetization = 5.03 μB per formula unit
E = -22.08 eV for the cell shown

Lattice parameters (Å, degrees): 4.388 4.388 4.388 60.00 60.00 60.00
Atoms (fractional coordinates):
Pu (0.000, 0.000, 0.000)
Mg (0.500, 0.500, 0.500)
Co (0.750, 0.750, 0.750)

=====

[13]
VASP calculation (GGA-PBE) on a relaxed RbMgCoW crystal.

Values from the calculation:
symmetry = F-43m
total magnetization = 4.27 μB per formula unit
E = -14.77 eV for the cell shown

Lattice parameters (Å, degrees): 4.917 4.917 4.917 60.00 60.00 60.00
Atoms (fractional coordinates):
Rb (0.000, 0.000, 0.000)
Mg (0.500, 0.500, 0.500)
Co (0.750, 0.750, 0.750)
W (0.250, 0.250, 0.250)

=====

[14]
VASP calculation (GGA-PBE) on a relaxed RbMgCoW crystal.

Values from the calculation:
symmetry = F-43m
total magnetization = 3.42 μB per formula unit
E = -15.73 eV for the cell shown

Lattice parameters (Å, degrees): 4.862 4.862 4.862 60.00 60.00 60.00
Atoms (fractional coordinates):
Rb (0.000, 0.000, 0.000)
Mg (0.750, 0.750, 0.750)
Co (0.250, 0.250, 0.250)
W (0.500, 0.500, 0.500)

=====

[15]
VASP calculation (GGA-PBE) on a relaxed RbMgCoW crystal.

Values from the calculation:
symmetry = F-43m
total magnetization = 0.01 μB per formula unit
E = -16.10 eV for the cell shown

Lattice parameters (Å, degrees): 4.702 4.702 4.702 60.00 60.00 60.00
Atoms (fractional coordinates):
Rb (0.000, 0.000, 0.000)
Mg (0.750, 0.750, 0.750)
Co (0.500, 0.500, 0.500)
W (0.250, 0.250, 0.250)

=====

[16]
VASP calculation (GGA-PBE) on a relaxed MgCoReSb crystal.

Values from the calculation:
symmetry = F-43m
total magnetization = 0.01 μB per formula unit
E = -23.97 eV for the cell shown

Lattice parameters (Å, degrees): 4.426 4.426 4.426 60.00 60.00 60.00
Atoms (fractional coordinates):
Mg (0.000, 0.000, 0.000)
Co (0.750, 0.750, 0.750)
Re (0.250, 0.250, 0.250)
Sb (0.500, 0.500, 0.500)

=====

[17]
VASP calculation (GGA-PBE) on a relaxed MgZnCoS3 crystal.

Values from the calculation:
symmetry = Cmcm
total magnetization = 2.67 μB per formula unit
E = -50.50 eV for the cell shown

Lattice parameters (Å, degrees): 6.065 6.065 10.240 90.00 90.00 146.30
Atoms (fractional coordinates):
Mg (0.225, 0.775, 0.750)
Mg (0.775, 0.225, 0.250)
Zn (0.000, 0.000, 0.000)
Zn (0.000, 0.000, 0.500)
Co (0.488, 0.512, 0.250)
Co (0.512, 0.488, 0.750)
S (0.104, 0.896, 0.250)
S (0.366, 0.634, 0.078)
S (0.366, 0.634, 0.422)
S (0.634, 0.366, 0.578)
S (0.634, 0.366, 0.922)
S (0.896, 0.104, 0.750)

=====

[18]
VASP calculation (GGA-PBE) on a relaxed MgZnCoS3 crystal.

Values from the calculation:
symmetry = Cmcm
total magnetization = 1.00 μB per formula unit
E = -50.00 eV for the cell shown

Lattice parameters (Å, degrees): 6.277 6.277 9.040 90.00 90.00 147.25
Atoms (fractional coordinates):
Mg (0.238, 0.762, 0.750)
Mg (0.762, 0.238, 0.250)
Zn (0.478, 0.522, 0.250)
Zn (0.522, 0.478, 0.750)
Co (0.000, 0.000, 0.000)
Co (0.000, 0.000, 0.500)
S (0.101, 0.899, 0.250)
S (0.366, 0.634, 0.049)
S (0.366, 0.634, 0.451)
S (0.634, 0.366, 0.549)
S (0.634, 0.366, 0.951)
S (0.899, 0.101, 0.750)

=====

[19]
VASP calculation (GGA-PBE) on a relaxed MgScCoSb crystal.

Values from the calculation:
symmetry = F-43m
total magnetization = 0.90 μB per formula unit
E = -19.46 eV for the cell shown

Lattice parameters (Å, degrees): 4.650 4.650 4.650 60.00 60.00 60.00
Atoms (fractional coordinates):
Mg (0.000, 0.000, 0.000)
Sc (0.750, 0.750, 0.750)
Co (0.250, 0.250, 0.250)
Sb (0.500, 0.500, 0.500)

=====

[20]
VASP calculation (GGA-PBE) on a relaxed MgScCoSb crystal.

Values from the calculation:
symmetry = F-43m
total magnetization = 0.73 μB per formula unit
E = -19.69 eV for the cell shown

Lattice parameters (Å, degrees): 4.706 4.706 4.706 60.00 60.00 60.00
Atoms (fractional coordinates):
Mg (0.000, 0.000, 0.000)
Sc (0.500, 0.500, 0.500)
Co (0.250, 0.250, 0.250)
Sb (0.750, 0.750, 0.750)

=====

[21]
VASP calculation (GGA-PBE) on a relaxed MgScCoSb crystal.

Values from the calculation:
symmetry = F-43m
total magnetization = 0.14 μB per formula unit
E = -19.60 eV for the cell shown

Lattice parameters (Å, degrees): 4.630 4.630 4.630 60.00 60.00 60.00
Atoms (fractional coordinates):
Mg (0.000, 0.000, 0.000)
Sc (0.250, 0.250, 0.250)
Co (0.500, 0.500, 0.500)
Sb (0.750, 0.750, 0.750)

=====

[22]
VASP calculation (GGA-PBE) on a relaxed MgTaCoSb crystal.

Values from the calculation:
symmetry = F-43m
total magnetization = 1.79 μB per formula unit
E = -22.93 eV for the cell shown

Lattice parameters (Å, degrees): 4.589 4.589 4.589 60.00 60.00 60.00
Atoms (fractional coordinates):
Mg (0.000, 0.000, 0.000)
Ta (0.250, 0.250, 0.250)
Co (0.750, 0.750, 0.750)
Sb (0.500, 0.500, 0.500)

=====

[23]
VASP calculation (GGA-PBE) on a relaxed MgTaCoSb crystal.

Values from the calculation:
symmetry = F-43m
total magnetization = 1.09 μB per formula unit
E = -22.66 eV for the cell shown

Lattice parameters (Å, degrees): 4.591 4.591 4.591 60.00 60.00 60.00
Atoms (fractional coordinates):
Mg (0.000, 0.000, 0.000)
Ta (0.750, 0.750, 0.750)
Co (0.500, 0.500, 0.500)
Sb (0.250, 0.250, 0.250)

=====

[24]
VASP calculation (GGA-PBE) on a relaxed MgTa2Co3Sb3 crystal.

Values from the calculation:
symmetry = Cc
total magnetization = 0.00 μB per formula unit
E = -124.78 eV for the cell shown

Lattice parameters (Å, degrees): 7.307 7.307 7.300 99.60 99.60 119.97
Atoms (fractional coordinates):
Mg (0.085, 0.915, 0.500)
Mg (0.915, 0.085, 0.000)
Ta (0.252, 0.750, 0.006)
Ta (0.422, 0.589, 0.506)
Ta (0.589, 0.422, 0.006)
Ta (0.750, 0.252, 0.506)
Co (0.131, 0.613, 0.637)
Co (0.311, 0.478, 0.137)
Co (0.478, 0.311, 0.637)
Co (0.613, 0.131, 0.137)
Co (0.772, 0.958, 0.616)
Co (0.958, 0.772, 0.116)
Sb (0.003, 0.498, 0.257)
Sb (0.166, 0.324, 0.756)
Sb (0.324, 0.166, 0.256)
Sb (0.498, 0.003, 0.757)
Sb (0.680, 0.843, 0.250)
Sb (0.843, 0.680, 0.750)

=====

[25]
VASP calculation (GGA-PBE) on a relaxed MgCoSbW crystal.

Values from the calculation:
symmetry = F-43m
total magnetization = 0.63 μB per formula unit
E = -23.64 eV for the cell shown

Lattice parameters (Å, degrees): 4.494 4.494 4.494 60.00 60.00 60.00
Atoms (fractional coordinates):
Mg (0.000, 0.000, 0.000)
Co (0.750, 0.750, 0.750)
Sb (0.500, 0.500, 0.500)
W (0.250, 0.250, 0.250)

=====

[26]
VASP calculation (GGA-PBE) on a relaxed MgCoSbW crystal.

Values from the calculation:
symmetry = F-43m
total magnetization = 2.48 μB per formula unit
E = -22.85 eV for the cell shown

Lattice parameters (Å, degrees): 4.546 4.546 4.546 60.00 60.00 60.00
Atoms (fractional coordinates):
Mg (0.000, 0.000, 0.000)
Co (0.500, 0.500, 0.500)
Sb (0.250, 0.250, 0.250)
W (0.750, 0.750, 0.750)

=====

[27]
VASP calculation (GGA-PBE) on a relaxed YMgCoSb crystal.

Values from the calculation:
symmetry = F-43m
total magnetization = 0.37 μB per formula unit
E = -19.68 eV for the cell shown

Lattice parameters (Å, degrees): 4.786 4.786 4.786 60.00 60.00 60.00
Atoms (fractional coordinates):
Y (0.000, 0.000, 0.000)
Mg (0.250, 0.250, 0.250)
Co (0.750, 0.750, 0.750)
Sb (0.500, 0.500, 0.500)

=====

[28]
VASP calculation (GGA-PBE) on a relaxed YMgCoSb crystal.

Values from the calculation:
symmetry = F-43m
total magnetization = 0.97 μB per formula unit
E = -19.34 eV for the cell shown

Lattice parameters (Å, degrees): 4.842 4.842 4.842 60.00 60.00 60.00
Atoms (fractional coordinates):
Y (0.000, 0.000, 0.000)
Mg (0.750, 0.750, 0.750)
Co (0.500, 0.500, 0.500)
Sb (0.250, 0.250, 0.250)

=====

[29]
VASP calculation (GGA-PBE) on a relaxed MgScCo crystal.

Values from the calculation:
symmetry = F-43m
total magnetization = 0.01 μB per formula unit
E = -13.02 eV for the cell shown

Lattice parameters (Å, degrees): 4.398 4.398 4.398 60.00 60.00 60.00
Atoms (fractional coordinates):
Mg (0.000, 0.000, 0.000)
Sc (0.750, 0.750, 0.750)
Co (0.500, 0.500, 0.500)